Record 1
This record from Alexandria describes an optimized crystal structure of Ce10In6Sb. The functional is PBE.

Properties
Formation energy without anion corrections: -0.306 eV per atom
Magnetization: 13.413 μB/f.u.
Calculated density: 7.20 g/cm³
Space group: No. 162
E: -0.184 hartree per atom

Cell and atoms, written as CIF:
```
data_Ce10In6Sb
_chemical_formula_sum 'Ce10 In6 Sb1'
_cell_length_a 9.650
_cell_length_b 9.650
_cell_length_c 6.324
_cell_angle_alpha 90.00
_cell_angle_beta 90.00
_cell_angle_gamma 120.00
_space_group_name_H-M_alt 'P 1'
_space_group_IT_number 1
loop_
_space_group_symop_operation_xyz
'x,y,z'
loop_
_atom_site_label
_atom_site_fract_x
_atom_site_fract_y
_atom_site_fract_z
_atom_site_occupancy
Ce1 0.000 0.269 0.268 1
Ce2 0.000 0.731 0.732 1
Ce3 0.269 0.000 0.268 1
Ce4 0.269 0.269 0.732 1
Ce5 0.333 0.667 0.000 1
Ce6 0.333 0.667 0.500 1
Ce7 0.667 0.333 0.000 1
Ce8 0.667 0.333 0.500 1
Ce9 0.731 0.000 0.732 1
Ce10 0.731 0.731 0.268 1
In1 0.000 0.388 0.763 1
In2 0.000 0.612 0.237 1
In3 0.388 0.000 0.763 1
In4 0.388 0.388 0.237 1
In5 0.612 0.000 0.237 1
In6 0.612 0.612 0.763 1
Sb1 0.000 0.000 0.000 1
```

Record 2
This record from Alexandria describes an optimized crystal structure of CeInSb2. The functional is PBE.

Properties
Formation energy without anion corrections: -0.591 eV per atom
Magnetization: 0.000 μB/f.u.
Calculated density: 7.83 g/cm³
Space group: No. 123
E: -0.177 hartree per atom

Cell and atoms, written as CIF:
```
data_CeInSb2
_chemical_formula_sum 'Ce1 In1 Sb2'
_cell_length_a 4.961
_cell_length_b 4.961
_cell_length_c 4.294
_cell_angle_alpha 90.00
_cell_angle_beta 90.00
_cell_angle_gamma 90.00
_space_group_name_H-M_alt 'P 1'
_space_group_IT_number 1
loop_
_space_group_symop_operation_xyz
'x,y,z'
loop_
_atom_site_label
_atom_site_fract_x
_atom_site_fract_y
_atom_site_fract_z
_atom_site_occupancy
Ce1 0.000 0.000 0.000 1
In1 0.500 0.500 0.000 1
Sb1 0.000 0.500 0.500 1
Sb2 0.500 0.000 0.500 1
```

Record 3
This record from Alexandria describes an optimized crystal structure of Ce6In5Sb. The functional is PBE.

Properties
Formation energy without anion corrections: -0.438 eV per atom
Magnetization: 6.033 μB/f.u.
Calculated density: 7.74 g/cm³
Space group: No. 71
E: -0.180 hartree per atom

Cell and atoms, written as CIF:
```
data_Ce6In5Sb
_chemical_formula_sum 'Ce6 In5 Sb1'
_cell_length_a 8.998
_cell_length_b 8.998
_cell_length_c 8.998
_cell_angle_alpha 148.57
_cell_angle_beta 118.30
_cell_angle_gamma 70.89
_space_group_name_H-M_alt 'P 1'
_space_group_IT_number 1
loop_
_space_group_symop_operation_xyz
'x,y,z'
loop_
_atom_site_label
_atom_site_fract_x
_atom_site_fract_y
_atom_site_fract_z
_atom_site_occupancy
Ce1 0.082 0.337 0.745 1
Ce2 0.241 0.000 0.241 1
Ce3 0.408 0.663 0.745 1
Ce4 0.592 0.337 0.255 1
Ce5 0.759 0.000 0.759 1
Ce6 0.918 0.663 0.255 1
In1 0.180 0.180 0.000 1
In2 0.336 0.836 0.500 1
In3 0.500 0.500 0.000 1
In4 0.664 0.164 0.500 1
In5 0.820 0.820 0.000 1
Sb1 0.000 0.500 0.500 1
```

Record 4
This record from Alexandria describes an optimized crystal structure of Ce2InSb. The functional is PBE.

Properties
Formation energy without anion corrections: -0.605 eV per atom
Magnetization: 2.303 μB/f.u.
Calculated density: 7.60 g/cm³
Space group: No. 123
E: -0.194 hartree per atom

Cell and atoms, written as CIF:
```
data_Ce2InSb
_chemical_formula_sum 'Ce2 In1 Sb1'
_cell_length_a 4.095
_cell_length_b 4.095
_cell_length_c 6.737
_cell_angle_alpha 90.00
_cell_angle_beta 90.00
_cell_angle_gamma 90.00
_space_group_name_H-M_alt 'P 1'
_space_group_IT_number 1
loop_
_space_group_symop_operation_xyz
'x,y,z'
loop_
_atom_site_label
_atom_site_fract_x
_atom_site_fract_y
_atom_site_fract_z
_atom_site_occupancy
Ce1 0.000 0.000 0.242 1
Ce2 0.000 0.000 0.758 1
In1 0.500 0.500 0.500 1
Sb1 0.500 0.500 0.000 1
```

Record 5
This record from Alexandria describes an optimized crystal structure of CeIn2Sb. The functional is PBE.

Properties
Formation energy without anion corrections: 0.172 eV per atom
Magnetization: 1.128 μB/f.u.
Calculated density: 7.04 g/cm³
Space group: No. 166
E: -0.136 hartree per atom

Cell and atoms, written as CIF:
```
data_CeIn2Sb
_chemical_formula_sum 'Ce3 In6 Sb3'
_cell_length_a 3.334
_cell_length_b 3.334
_cell_length_c 36.106
_cell_angle_alpha 90.00
_cell_angle_beta 90.00
_cell_angle_gamma 120.00
_space_group_name_H-M_alt 'P 1'
_space_group_IT_number 1
loop_
_space_group_symop_operation_xyz
'x,y,z'
loop_
_atom_site_label
_atom_site_fract_x
_atom_site_fract_y
_atom_site_fract_z
_atom_site_occupancy
Ce1 0.000 0.000 0.000 1
Ce2 0.333 0.667 0.667 1
Ce3 0.667 0.333 0.333 1
In1 0.000 0.000 0.090 1
In2 0.000 0.000 0.910 1
In3 0.333 0.667 0.577 1
In4 0.333 0.667 0.756 1
In5 0.667 0.333 0.244 1
In6 0.667 0.333 0.423 1
Sb1 0.000 0.000 0.500 1
Sb2 0.333 0.667 0.167 1
Sb3 0.667 0.333 0.833 1
```

Record 6
This record from Alexandria describes an optimized crystal structure of Ce2InSb. The functional is PBE.

Properties
Formation energy without anion corrections: -0.516 eV per atom
Magnetization: 2.907 μB/f.u.
Calculated density: 7.54 g/cm³
Space group: No. 225
E: -0.191 hartree per atom

Cell and atoms, written as CIF:
```
data_Ce2InSb
_chemical_formula_sum 'Ce8 In4 Sb4'
_cell_length_a 7.694
_cell_length_b 7.694
_cell_length_c 7.694
_cell_angle_alpha 90.00
_cell_angle_beta 90.00
_cell_angle_gamma 90.00
_space_group_name_H-M_alt 'P 1'
_space_group_IT_number 1
loop_
_space_group_symop_operation_xyz
'x,y,z'
loop_
_atom_site_label
_atom_site_fract_x
_atom_site_fract_y
_atom_site_fract_z
_atom_site_occupancy
Ce1 0.250 0.250 0.250 1
Ce2 0.250 0.250 0.750 1
Ce3 0.250 0.750 0.250 1
Ce4 0.250 0.750 0.750 1
Ce5 0.750 0.250 0.250 1
Ce6 0.750 0.250 0.750 1
Ce7 0.750 0.750 0.250 1
Ce8 0.750 0.750 0.750 1
In1 0.000 0.000 0.000 1
In2 0.000 0.500 0.500 1
In3 0.500 0.000 0.500 1
In4 0.500 0.500 0.000 1
Sb1 0.000 0.000 0.500 1
Sb2 0.000 0.500 0.000 1
Sb3 0.500 0.000 0.000 1
Sb4 0.500 0.500 0.500 1
```